# ScVFeTc | Alexandria via LeMat-Bulk | PBE | relaxed
# - formation energy (eV/atom) = -0.15
# - density (g cm⁻³) = 7.25
# - density of states at the Fermi level (states/eV/f.u.) = 2.973
data_ScVFeTc
_chemical_formula_sum 'Sc1 V1 Fe1 Tc1'
_space_group_name_H-M_alt 'P 1'
_space_group_IT_number 1
_cell_length_a 4.324
_cell_length_b 4.324
_cell_length_c 4.324
_cell_angle_alpha 60.00
_cell_angle_beta 60.00
_cell_angle_gamma 60.00
loop_
_space_group_symop_operation_xyz
'x,y,z'
loop_
_atom_site_label
_atom_site_type_symbol
_atom_site_fract_x
_atom_site_fract_y
_atom_site_fract_z
_atom_site_occupancy
Sc1 Sc 0.000 0.000 0.000 1
V1 V 0.500 0.500 0.500 1
Tc1 Tc 0.750 0.750 0.750 1
Fe1 Fe 0.250 0.250 0.250 1